No. 1
Compound: Er3CuAu3
Source: the Alexandria database
Functional: PBE
Structure: relaxed

Computed properties:
* crystal system: orthorhombic
* E: -4.66 eV per atom
* E_form: -0.719 eV/atom
* symmetry: Imm2 (44)
* spin magnetization: 0.000 μB/f.u.

Cell: 4.518 3.621 9.914 Å, 100.52 103.17 90.00°
Fractional positions:
Er1 0.687 0.187 0.375
Au1 0.156 0.656 0.312
Er2 0.315 0.815 0.629
Au2 0.562 0.562 0.123
Au3 0.854 0.354 0.708
Cu1 0.430 0.430 0.859
Er3 0.997 0.997 0.994


No. 2
Compound: Pa2P4IrRu3
Source: the Alexandria database
Functional: PBE
Structure: relaxed

Computed properties:
* crystal system: tetragonal
* E: -8.69 eV per atom
* E_form: -0.957 eV/atom
* symmetry: P-4m2 (115)
* spin magnetization: 0.000 μB/f.u.

Cell: 4.137 4.137 9.389 Å, 90.00 90.00 90.00°
Fractional positions:
P1 0.500 0.000 0.639
Ru1 0.500 0.000 0.884
Ru2 0.000 0.500 0.116
P2 0.500 0.500 0.000
Pa1 0.500 0.000 0.241
Ir1 0.500 0.500 0.500
Ru3 0.000 0.000 0.500
P3 0.000 0.000 0.000
Pa2 0.000 0.500 0.759
P4 0.000 0.500 0.361


No. 3
Compound: Pm4Al3Rh
Source: the Alexandria database
Functional: PBE
Structure: relaxed

Computed properties:
* crystal system: orthorhombic
* E: -5.15 eV per atom
* E_form: -0.456 eV/atom
* symmetry: Pmm2 (25)
* spin magnetization: 0.001 μB/f.u.

Cell: 4.378 4.314 10.984 Å, 90.00 90.00 90.00°
Fractional positions:
Al1 0.000 0.000 0.428
Pm1 0.500 0.000 0.646
Rh1 0.500 0.500 0.071
Al2 0.000 0.500 0.568
Pm2 0.500 0.500 0.340
Pm3 0.000 0.000 0.140
Pm4 0.000 0.500 0.868
Al3 0.500 0.000 0.939


No. 4
Compound: KCuHg2Cl8
Source: the Alexandria database
Functional: PBE
Structure: relaxed

Computed properties:
* crystal system: triclinic
* formation energy from raw total energies: -17.0 kcal/mol of atoms
* E: -2.45 eV per atom
* symmetry: P-1 (2)
* spin magnetization: 0.000 μB/f.u.

Cell: 7.578 6.733 8.504 Å, 72.80 85.51 86.76°
Fractional positions:
Hg1 0.541 0.477 0.772
Cu1 0.000 0.000 0.000
Cl1 0.337 0.304 0.475
Cl2 0.620 0.737 0.003
K1 0.000 0.000 0.500
Cl3 0.128 0.810 0.853
Cl4 0.380 0.263 0.997
Cl5 0.899 0.221 0.778
Cl6 0.663 0.696 0.525
Cl7 0.101 0.779 0.222
Hg2 0.459 0.523 0.228
Cl8 0.872 0.190 0.147


No. 5
Compound: TaFe2CuH
Source: the Alexandria database
Functional: PBE
Structure: relaxed

Computed properties:
* crystal system: tetragonal
* E: -7.22 eV per atom
* symmetry: P4/mmm (123)
* E above lowest polymorph: 0 meV/atom
* spin magnetization: 0.961 μB/f.u.

Cell: 3.840 3.840 3.520 Å, 90.00 90.00 90.00°
Each line ends with the local moment (μB).
Fractional positions:
Fe1 0.500 0.000 0.000  0.68
Fe2 0.000 0.500 0.000  0.68
Ta1 0.500 0.500 0.500  -0.25
Cu1 0.000 0.000 0.500  0.00
H1 0.000 0.000 0.000  -0.01


No. 6
Compound: NdSm2Cd5
Source: the Alexandria database
Functional: PBE
Structure: relaxed

Computed properties:
* crystal system: tetragonal
* E: -2.67 eV per atom
* E_form: -0.318 eV/atom
* symmetry: I4/mmm (139)
* spin magnetization: 0.020 μB/f.u.

Cell: 5.221 5.221 8.515 Å, 107.85 107.85 90.00°
Fractional positions:
Sm1 0.264 0.264 0.529
Cd1 0.881 0.381 0.761
Cd2 0.500 0.500 0.000
Sm2 0.736 0.736 0.471
Cd3 0.619 0.119 0.239
Nd1 0.000 0.000 0.000
Cd4 0.381 0.881 0.761
Cd5 0.119 0.619 0.239


No. 7
Compound: FeTcPt2Rh2
Source: the Alexandria database
Functional: PBE
Structure: relaxed

Computed properties:
* crystal system: orthorhombic
* E: -7.55 eV per atom
* E_form: 0.052 eV/atom
* symmetry: Pmmn (59)
* spin magnetization: 2.520 μB/f.u.

Cell: 5.378 4.308 7.554 Å, 90.00 90.00 90.00°
Each line ends with the local moment (μB).
Fractional positions:
Pt1 0.001 0.250 0.231  0.08
Tc1 0.250 0.250 0.916  -0.42
Rh1 0.750 0.250 0.592  0.41
Rh2 0.250 0.250 0.588  0.05
Tc2 0.750 0.750 0.084  -0.42
Fe1 0.250 0.750 0.083  2.34
Pt2 0.999 0.750 0.769  0.08
Rh3 0.250 0.750 0.408  0.41
Pt3 0.499 0.250 0.231  0.08
Pt4 0.501 0.750 0.769  0.08
Fe2 0.750 0.250 0.917  2.34
Rh4 0.750 0.750 0.412  0.05


No. 8
Compound: K2Er2TcO6
Source: the Alexandria database
Functional: PBE
Structure: relaxed

Computed properties:
* crystal system: monoclinic
* formation energy from raw total energies: -55.6 kcal/mol of atoms
* E: -7.09 eV per atom
* symmetry: C2/m (12)
* spin magnetization: 3.000 μB/f.u.

Cell: 5.725 5.725 6.584 Å, 97.81 97.81 119.58°
Each line ends with the local moment (μB).
Fractional positions:
O1 0.950 0.635 0.328  0.06
O2 0.252 0.252 0.327  0.07
K1 0.163 0.837 0.000  0.00
K2 0.837 0.163 0.000  0.00
O3 0.050 0.365 0.672  0.06
Er1 0.335 0.665 0.500  0.04
Er2 0.665 0.335 0.500  0.04
O4 0.748 0.748 0.673  0.07
Tc1 0.000 0.000 0.500  2.30
O5 0.365 0.050 0.672  0.06
O6 0.635 0.950 0.328  0.06


No. 9
Compound: LiCeSBr
Source: the Alexandria database
Functional: PBE
Structure: relaxed

Computed properties:
* crystal system: trigonal
* formation energy from raw total energies: -35.8 kcal/mol of atoms
* E: -4.97 eV per atom
* symmetry: R-3m (166)
* spin magnetization: 1.608 μB/f.u.

Cell: 4.008 4.008 14.554 Å, 82.09 82.09 60.00°
Each line ends with the local moment (μB).
Fractional positions:
Li1 0.813 0.813 0.560  0.01
S1 0.129 0.129 0.614  -0.01
Li2 0.187 0.187 0.440  0.01
Ce1 0.421 0.421 0.738  1.20
S2 0.871 0.871 0.386  -0.01
Br1 0.290 0.290 0.129  -0.01
Ce2 0.579 0.579 0.262  1.20
Br2 0.710 0.710 0.871  -0.01


No. 10
Compound: CsPtRh3
Source: the Alexandria database
Functional: PBE
Structure: relaxed

Computed properties:
* crystal system: cubic
* E: -3.46 eV per atom
* E_form: 2.328 eV/atom
* symmetry: Pm-3m (221)
* spin magnetization: 1.621 μB/f.u.

Cell: 4.867 4.867 4.867 Å, 90.00 90.00 90.00°
Each line ends with the local moment (μB).
Fractional positions:
Rh1 0.000 0.000 0.500  0.25
Pt1 0.500 0.500 0.500  0.43
Cs1 0.000 0.000 0.000  0.00
Rh2 0.000 0.500 0.000  0.38
Rh3 0.500 0.000 0.000  0.58


No. 11
Compound: AcPr4Dy4
Source: the Alexandria database
Functional: PBE
Structure: relaxed

Computed properties:
* crystal system: tetragonal
* E: -4.59 eV per atom
* E_form: 0.031 eV/atom
* symmetry: I4/mmm (139)
* spin magnetization: 0.000 μB/f.u.

Cell: 5.185 8.217 8.217 Å, 84.29 71.61 71.61°
Fractional positions:
Dy1 0.339 0.661 0.661
Pr1 0.671 0.000 0.659
Pr2 0.329 0.341 0.000
Pr3 0.329 0.000 0.341
Ac1 0.000 0.000 0.000
Pr4 0.671 0.659 0.000
Dy2 0.000 0.339 0.661
Dy3 0.000 0.661 0.339
Dy4 0.661 0.339 0.339


No. 12
Compound: BaCa2Hg4
Source: the Alexandria database
Functional: PBE
Structure: relaxed

Computed properties:
* crystal system: tetragonal
* E: -1.33 eV per atom
* E_form: -0.315 eV/atom
* symmetry: P4/mmm (123)
* spin magnetization: 0.000 μB/f.u.

Cell: 5.504 5.504 7.601 Å, 90.00 90.00 90.00°
Fractional positions:
Hg1 0.000 0.500 0.721
Hg2 0.500 0.000 0.279
Ba1 0.500 0.500 0.000
Ca1 0.000 0.000 0.000
Hg3 0.500 0.000 0.721
Ca2 0.500 0.500 0.500
Hg4 0.000 0.500 0.279


No. 13
Compound: TaCu2Cl
Source: the Alexandria database
Functional: PBE
Structure: relaxed

Computed properties:
* crystal system: orthorhombic
* formation energy from raw total energies: 9.1 kcal/mol of atoms
* E: -5.08 eV per atom
* symmetry: Immm (71)
* E above lowest polymorph: 374 meV/atom
* spin magnetization: 0.000 μB/f.u.

Cell: 5.564 5.564 4.320 Å, 67.17 67.17 29.89°
Fractional positions:
Cu1 0.011 0.011 0.989
Ta1 0.750 0.750 0.750
Cu2 0.489 0.489 0.511
Cl1 0.250 0.250 0.250


No. 14
Compound: LaY3Tc
Source: the Alexandria database
Functional: PBE
Structure: relaxed

Computed properties:
* crystal system: cubic
* E: -6.83 eV per atom
* E_form: 0.106 eV/atom
* symmetry: Pm-3m (221)
* E above lowest polymorph: 0 meV/atom
* spin magnetization: 0.000 μB/f.u.

Cell: 5.455 5.455 5.455 Å, 90.00 90.00 90.00°
Fractional positions:
Tc1 0.000 0.000 0.000
Y1 0.500 0.000 0.000
Y2 0.000 0.000 0.500
Y3 0.000 0.500 0.000
La1 0.500 0.500 0.500


No. 15
Compound: InCu6O8
Source: the Alexandria database
Functional: PBE
Structure: relaxed

Computed properties:
* crystal system: cubic
* formation energy from raw total energies: -17.4 kcal/mol of atoms
* E: -5.22 eV per atom
* symmetry: Fm-3m (225)
* spin magnetization: 0.000 μB/f.u.

Cell: 6.538 6.538 6.538 Å, 60.00 60.00 60.00°
Fractional positions:
Cu1 0.000 0.500 0.000
O1 0.857 0.428 0.857
Cu2 0.000 0.000 0.500
O2 0.857 0.857 0.428
O3 0.857 0.857 0.857
O4 0.428 0.857 0.857
O5 0.143 0.143 0.572
Cu3 0.500 0.000 0.500
O6 0.143 0.143 0.143
O7 0.143 0.572 0.143
Cu4 0.500 0.500 0.000
Cu5 0.500 0.000 0.000
O8 0.572 0.143 0.143
Cu6 0.000 0.500 0.500
In1 0.000 0.000 0.000


No. 16
Compound: Ho2Th5C5
Source: the Alexandria database
Functional: PBE
Structure: relaxed

Computed properties:
* crystal system: monoclinic
* E: -7.85 eV per atom
* E_form: -0.148 eV/atom
* symmetry: C2/m (12)
* spin magnetization: 0.000 μB/f.u.

Cell: 3.685 6.368 11.040 Å, 105.61 90.00 106.82°
Fractional positions:
Ho1 0.972 0.943 0.215
Th1 0.258 0.515 0.644
Th2 0.500 0.000 0.500
C1 0.000 0.000 0.000
Th3 0.657 0.314 0.053
C2 0.873 0.745 0.571
C3 0.670 0.341 0.814
C4 0.127 0.255 0.429
C5 0.330 0.659 0.186
Ho2 0.028 0.057 0.785
Th4 0.343 0.686 0.947
Th5 0.742 0.485 0.356


No. 17
Compound: Mn2SnAu
Source: the Alexandria database
Functional: PBE
Structure: relaxed

Computed properties:
* crystal system: tetragonal
* E: -6.06 eV per atom
* E_form: 0.347 eV/atom
* symmetry: I-42d (122)
* spin magnetization: 7.051 μB/f.u.

Cell: 7.327 7.327 5.896 Å, 51.58 51.58 90.00°
Each line ends with the local moment (μB).
Fractional positions:
Au1 0.750 0.250 0.500  0.03
Mn1 0.635 0.125 0.250  3.47
Mn2 0.875 0.885 0.750  3.47
Au2 0.000 0.000 0.000  0.03
Mn3 0.115 0.625 0.250  3.47
Mn4 0.375 0.365 0.750  3.47
Sn1 0.250 0.750 0.500  -0.17
Sn2 0.500 0.500 0.000  -0.17


No. 18
Compound: TlSbTe2
Source: the Alexandria database
Functional: PBE
Structure: relaxed

Computed properties:
* crystal system: tetragonal
* formation energy from raw total energies: -0.7 kcal/mol of atoms
* E: -3.22 eV per atom
* symmetry: I-42d (122)
* E above lowest polymorph: 198 meV/atom
* spin magnetization: 0.000 μB/f.u.

Cell: 8.337 8.337 7.497 Å, 56.22 56.22 90.00°
Fractional positions:
Sb1 0.500 0.500 0.000
Te1 0.875 0.838 0.750
Te2 0.588 0.125 0.250
Tl1 0.750 0.250 0.500
Tl2 0.000 0.000 0.000
Sb2 0.250 0.750 0.500
Te3 0.162 0.625 0.250
Te4 0.375 0.412 0.750


No. 19
Compound: ZrZn
Source: the Alexandria database
Functional: PBE
Structure: relaxed

Computed properties:
* crystal system: tetragonal
* E: -4.81 eV per atom
* E_form: 0.106 eV/atom
* symmetry: P4_2/mnm (136)
* spin magnetization: 0.334 μB/f.u.

Cell: 5.385 5.385 5.609 Å, 90.00 90.00 90.00°
Each line ends with the local moment (μB).
Fractional positions:
Zn1 0.320 0.320 0.500  0.01
Zr1 0.311 0.311 0.000  0.24
Zn2 0.680 0.680 0.500  0.01
Zn3 0.820 0.180 0.000  0.01
Zn4 0.180 0.820 0.000  0.01
Zr2 0.811 0.189 0.500  0.24
Zr3 0.189 0.811 0.500  0.24
Zr4 0.689 0.689 0.000  0.24


No. 20
Compound: RbRuRh
Source: the Alexandria database
Functional: PBE
Structure: relaxed

Computed properties:
* crystal system: monoclinic
* E: -5.38 eV per atom
* E_form: 0.489 eV/atom
* symmetry: Cm (8)
* E above lowest polymorph: 1 meV/atom
* spin magnetization: 0.276 μB/f.u.

Cell: 15.326 4.230 4.230 Å, 119.99 124.44 55.56°
Each line ends with the local moment (μB).
Fractional positions:
Rh1 0.228 0.952 0.048  0.23
Rh2 0.448 0.652 0.348  0.23
Ru1 0.338 0.135 0.865  0.00
Rb1 0.646 0.048 0.952  0.01
Ru2 0.338 0.469 0.531  0.00
Rb2 0.031 0.889 0.111  0.01